Entry 1:
9
Lattice="3.8000 0.0000 0.0000 -1.9000 9.7802 -0.4699 0.0000 -3.9464 9.2727" Properties=species:S:1:pos:R:3 comment="Ac2La2Pm4Nd GGA-PBE optimized geometry" e_form_ev_per_fu=0.20 crystal_system=monoclinic pbc="T T T"
Ac 1.9000 5.6007 2.7905
Ac 0.0000 0.2332 6.0123
La 0.0000 2.6093 8.9252
La 1.9000 3.2246 -0.1224
Pm 1.9000 3.5479 5.8860
Pm 0.0000 2.2860 2.9168
Pm 1.9000 -0.9058 2.9722
Pm 0.0000 6.7396 5.8306
Nd 0.0000 0.0000 0.0000

Entry 2:
9
Lattice="-2.2545 -2.6433 -1.5631 4.9176 3.3116 -8.0502 4.7465 -7.1833 5.3011" Properties=species:S:1:pos:R:3 comment="Ac2La2PmNd4 GGA-PBE optimized geometry" e_form_ev_per_fu=0.20 crystal_system=monoclinic pbc="T T T"
Ac 3.1540 -2.3231 -5.2627
Ac 4.2556 -4.1918 0.9505
La 7.2696 -5.8296 -0.6270
La 0.1400 -0.6853 -3.6853
Pm 0.0000 0.0000 0.0000
Nd 4.4335 -4.8603 -2.8178
Nd 2.9761 -1.6546 -1.4945
Nd 0.5391 -3.5567 0.5945
Nd 6.8705 -2.9583 -4.9068

Entry 3:
12
Lattice="5.4675 0.0000 0.0000 0.0000 8.4362 -1.2724 0.0000 -3.4359 10.9794" Properties=species:S:1:pos:R:3 comment="Ac3LaPmNd GGA-PBE optimized geometry" e_form_ev_per_fu=0.17 crystal_system=monoclinic pbc="T T T"
Ac 4.1006 7.1891 -0.5927
Ac 1.3669 -2.1888 10.2997
Ac 1.3669 3.7685 4.2352
Ac 4.1006 1.2318 5.4718
Ac 4.1006 2.5099 1.7729
Ac 1.3669 2.4904 7.9341
La 1.3669 -0.0109 3.0717
La 4.1006 5.0112 6.6353
Pm 1.3669 4.8662 0.5939
Pm 4.1006 0.1340 9.1131
Nd 1.3669 -1.1104 6.6851
Nd 4.1006 6.1107 3.0219

Taking the records one at a time from the top gives E_tot values of -4.627 -4.633 -4.434 eV/atom.